First-principles (PBE) data for an optimized crystal structure of TlBiPd4, as listed in the Alexandria database.

The structure belongs to space group Cmcm (No. 63); the cell edges are 3.308, 17.416 and 7.948 Å and the angles 90.00°, 90.00° and 90.00°. The inequivalent atoms are Tl at (0.000, 0.234, 0.250), Bi at (0.000, 0.436, 0.250), Pd at (0.000, 0.000, 0.000), Pd at (0.000, 0.163, 0.553) and Pd at (0.000, 0.402, 0.750).

The total DFT energy (no corrections) comes out at -110.6 eV/cell. As for the calculated volume: 114.5 Å³/f.u. The energy above the most stable polymorph in this dataset is 78 meV per atom. The formation energy is -0.105 eV/atom.

First-principles (PBE) data for an optimized crystal structure of TlBiPd, as listed in the Alexandria database.

The structure belongs to space group F-43m (No. 216); the cell edges are 6.773, 6.773 and 6.773 Å and the angles 90.00°, 90.00° and 90.00°. The inequivalent atoms are Tl at (0.000, 0.000, 0.000), Bi at (0.000, 0.000, 0.500) and Pd at (0.250, 0.250, 0.250).

The total DFT energy (no corrections) comes out at -47.5 eV/cell. As for the calculated volume: 77.7 Å³/f.u. The energy above the most stable polymorph in this dataset is 38 meV per atom. The formation energy is -0.144 eV/atom.

First-principles (PBE) data for an optimized crystal structure of Tl3BiPd6, as listed in the Alexandria database.

The structure belongs to space group Cmc2_1 (No. 36); the cell edges are 8.026, 13.865 and 7.117 Å and the angles 90.00°, 90.00° and 90.00°. The inequivalent atoms are Tl at (0.000, 0.037, 0.000), Tl at (0.198, 0.391, 0.821), Bi at (0.000, 0.294, 0.300), Pd at (0.000, 0.232, 0.671), Pd at (0.000, 0.464, 0.504), Pd at (0.186, 0.212, 0.008) and Pd at (0.235, 0.080, 0.702).

The total DFT energy (no corrections) comes out at -175.4 eV/cell. As for the calculated volume: 198.0 Å³/f.u. The formation energy is -0.171 eV/atom.

First-principles (PBE) data for an optimized crystal structure of TlBi6Pd12, as listed in the Alexandria database.

The structure belongs to space group R-3 (No. 148, hexagonal axes); the cell edges are 11.7519, 11.7519 and 9.9184 Å and the angles 90.00°, 90.00° and 120.00°. The inequivalent atoms are Tl at (0.0000, 0.0000, 0.0000), Bi at (0.0480, 0.8557, 0.7215), Pd at (0.0339, 0.7720, 0.9958) and Pd at (0.0650, 0.5705, 0.1194).

The total DFT energy (no corrections) comes out at -273.4 eV/cell. As for the calculated volume: 395.4 Å³/f.u. The formation energy is -0.166 eV/atom.

First-principles (PBE) data for an optimized crystal structure of TlBiPd3, as listed in the Alexandria database.

The structure belongs to space group Pm-3m (No. 221); the cell edges are 5.030, 5.030 and 5.030 Å and the angles 90.00°, 90.00° and 90.00°. The inequivalent atoms are Tl at (0.000, 0.000, 0.000), Bi at (0.500, 0.500, 0.500) and Pd at (0.000, 0.000, 0.500).

The total DFT energy (no corrections) comes out at -19.1 eV/cell. As for the calculated volume: 127.3 Å³/f.u. The energy above the most stable polymorph in this dataset is 777 meV per atom. The formation energy is 0.550 eV/atom.

First-principles (PBE) data for an optimized crystal structure of Tl2Bi2Pd7, as listed in the Alexandria database.

The structure belongs to space group C2/m (No. 12); the cell edges are 9.026, 9.771 and 5.440 Å and the angles 90.00°, 116.95° and 90.00°. The inequivalent atoms are Tl at (0.000, 0.175, 0.000), Bi at (0.144, 0.500, 0.385), Pd at (0.000, 0.000, 0.500), Pd at (0.172, 0.245, 0.682) and Pd at (0.228, 0.500, 0.957).

The total DFT energy (no corrections) comes out at -102.0 eV/cell. As for the calculated volume: 213.8 Å³/f.u. The formation energy is -0.198 eV/atom.

First-principles (PBE) data for an optimized crystal structure of TlBi3Pd12, as listed in the Alexandria database.

The structure belongs to space group P4/mmm (No. 123); the cell edges are 4.135, 4.135 and 16.408 Å and the angles 90.00°, 90.00° and 90.00°. The inequivalent atoms are Tl at (0.000, 0.000, 0.000), Bi at (0.000, 0.000, 0.245), Bi at (0.000, 0.000, 0.500), Pd at (0.000, 0.500, 0.124), Pd at (0.000, 0.500, 0.375), Pd at (0.500, 0.500, 0.000), Pd at (0.500, 0.500, 0.252) and Pd at (0.500, 0.500, 0.500).

The total DFT energy (no corrections) comes out at -80.3 eV/cell. As for the calculated volume: 280.6 Å³/f.u. The formation energy is -0.246 eV/atom.

First-principles (PBE) data for an optimized crystal structure of TlBiPd3, as listed in the Alexandria database.

The structure belongs to space group P2_1/m (No. 11); the cell edges are 4.870, 5.584 and 7.629 Å and the angles 90.00°, 106.05° and 90.00°. The inequivalent atoms are Tl at (0.223, 0.250, 0.108), Bi at (0.050, 0.250, 0.652), Pd at (0.205, 0.750, 0.726), Pd at (0.382, 0.750, 0.123) and Pd at (0.500, 0.000, 0.500).

The total DFT energy (no corrections) comes out at -45.2 eV/cell. As for the calculated volume: 99.7 Å³/f.u. The energy above the most stable polymorph in this dataset is 67 meV per atom. The formation energy is -0.160 eV/atom.

First-principles (PBE) data for an optimized crystal structure of TlBiPd, as listed in the Alexandria database.

The structure belongs to space group Fmmm (No. 69); the cell edges are 5.921, 9.503 and 10.357 Å and the angles 90.00°, 90.00° and 90.00°. The inequivalent atoms are Tl at (0.000, 0.166, 0.000), Bi at (0.000, 0.000, 0.338) and Pd at (0.250, 0.250, 0.250).

The total DFT energy (no corrections) comes out at -95.9 eV/cell. As for the calculated volume: 72.8 Å³/f.u. The energy above the most stable polymorph in this dataset is 0 meV per atom. The formation energy is -0.182 eV/atom.

First-principles (PBE) data for an optimized crystal structure of Tl4BiPd2, as listed in the Alexandria database.

The structure belongs to space group P2/m (No. 10); the cell edges are 4.992, 4.635 and 8.142 Å and the angles 90.00°, 92.98° and 90.00°. The inequivalent atoms are Tl at (0.241, 0.000, 0.362), Tl at (0.242, 0.500, 0.712), Bi at (0.500, 0.000, 0.000) and Pd at (0.234, 0.500, 0.108).

The total DFT energy (no corrections) comes out at -23.9 eV/cell. As for the calculated volume: 188.1 Å³/f.u. The formation energy is -0.026 eV/atom.

First-principles (PBE) data for an optimized crystal structure of TlBi2Pd, as listed in the Alexandria database.

The structure belongs to space group I-42d (No. 122); the cell edges are 4.728, 4.728 and 20.777 Å and the angles 90.00°, 90.00° and 90.00°. The inequivalent atoms are Tl at (0.000, 0.000, 0.000), Bi at (0.205, 0.250, 0.625) and Pd at (0.000, 0.000, 0.500).

The total DFT energy (no corrections) comes out at -60.0 eV/cell. As for the calculated volume: 116.1 Å³/f.u. The formation energy is 0.083 eV/atom.

First-principles (PBE) data for an optimized crystal structure of Tl3BiPd12, as listed in the Alexandria database.

The structure belongs to space group P4/mmm (No. 123); the cell edges are 4.082, 4.082 and 16.512 Å and the angles 90.00°, 90.00° and 90.00°. The inequivalent atoms are Tl at (0.000, 0.000, 0.000), Tl at (0.000, 0.000, 0.247), Bi at (0.000, 0.000, 0.500), Pd at (0.000, 0.500, 0.124), Pd at (0.000, 0.500, 0.374), Pd at (0.500, 0.500, 0.000), Pd at (0.500, 0.500, 0.251) and Pd at (0.500, 0.500, 0.500).

The total DFT energy (no corrections) comes out at -76.8 eV/cell. As for the calculated volume: 275.1 Å³/f.u. The formation energy is -0.217 eV/atom.

Q: Which value of total DFT energy (no corrections) does entry 2 give?
A: -47.5 eV/cell